The following is a DFT calculation (PBE) of a geometry-optimized Ag2RhF7 structure.

abc: 6.9332 6.9332 8.9311
angles: 121.94 121.94 55.38
Last column: nearest neighbours and their distance in Å.
Positions (direct):
Ag 0.1062 0.2913 0.2997  4 F 2.24-2.41
Ag 0.2913 0.1062 0.7997  4 F 2.24-2.41
Ag 0.7087 0.8938 0.2003  4 F 2.24-2.41
Ag 0.8938 0.7087 0.7003  4 F 2.24-2.41
Rh 0.3449 0.6551 0.2500  7 F 1.98-2.06
Rh 0.6551 0.3449 0.7500  7 F 1.98-2.06
F 0.0349 0.9651 0.2500  1 Rh 2.00
F 0.1619 0.6069 0.3322  1 Rh 2.00
F 0.1709 0.5418 0.9783  1 Rh 1.98
F 0.2761 0.4824 0.6804  1 Rh 2.06, 1 Ag 2.24
F 0.3931 0.8381 0.1678  1 Rh 2.00
F 0.4582 0.8291 0.5217  1 Rh 1.98
F 0.4824 0.2761 0.1804  1 Rh 2.06, 1 Ag 2.24
F 0.5176 0.7239 0.8196  1 Rh 2.06, 1 Ag 2.24
F 0.5418 0.1709 0.4783  1 Rh 1.98
F 0.6069 0.1619 0.8322  1 Rh 2.00
F 0.7239 0.5176 0.3196  1 Rh 2.06, 1 Ag 2.24
F 0.8291 0.4582 0.0217  1 Rh 1.98
F 0.8381 0.3931 0.6678  1 Rh 2.00
F 0.9651 0.0349 0.7500  1 Rh 2.00

Formation energy without anion corrections ... -1230.6 meV/atom
SG ... C2/c (15)
Total energy ... -3.85 eV/atom